VASP calculation (GGA-PBE) on a relaxed structure of SrReGe.

Cell lengths 4.6163, 4.6163, 4.6163 Å; angles 60.00, 60.00, 60.00 degrees
Closest atoms and distances in Å follow each position.
Fractional coordinates of all 3 atoms:
Ge 0.0000 0.0000 0.0000  4 Re 2.83, 4 Sr 2.83
Re 0.2500 0.2500 0.2500  4 Ge 2.83
Sr 0.7500 0.7500 0.7500  4 Ge 2.83

Symmetry: F-43m
Energy (eV per atom): -5.387
Polymorph energy (0 for the lowest one) (meV per atom): 0



VASP calculation (GGA-PBE) on a relaxed structure of SrSbAu.

Cell lengths 4.7452, 4.7452, 8.7919 Å; angles 90.00, 90.00, 120.00 degrees
Closest atoms and distances in Å follow each position.
Fractional coordinates of all 6 atoms:
Au 0.3333 0.6667 0.2500  3 Sb 2.74
Au 0.6667 0.3333 0.7500  3 Sb 2.74
Sb 0.6667 0.3333 0.2500  3 Au 2.74
Sb 0.3333 0.6667 0.7500  3 Au 2.74
Sr 0.0000 0.0000 0.0000  6 Au 3.51, 6 Sb 3.51
Sr 0.0000 0.0000 0.5000  6 Sb 3.51, 6 Au 3.51

Symmetry: P6_3/mmc
Energy (eV per atom): -3.920



VASP calculation (GGA-PBE) on a relaxed structure of KPtO3.

Cell lengths 7.3656, 7.3656, 7.3656 Å; angles 60.00, 60.00, 60.00 degrees
Closest atoms and distances in Å follow each position.
Fractional coordinates of all 20 atoms:
K 0.1250 0.1250 0.1250  6 O 2.60
K 0.6250 0.1250 0.1250  6 O 2.60
K 0.1250 0.6250 0.1250  6 O 2.60
K 0.1250 0.1250 0.6250  6 O 2.60
O 0.6992 0.3008 0.3008  2 Pt 2.00
O 0.3008 0.6992 0.3008  2 Pt 2.00
O 0.6992 0.6992 0.3008  2 Pt 2.00
O 0.9492 0.5508 0.5508  2 Pt 2.00
O 0.5508 0.9492 0.5508  2 Pt 2.00
O 0.9492 0.9492 0.5508  2 Pt 2.00
O 0.3008 0.3008 0.6992  2 Pt 2.00
O 0.6992 0.3008 0.6992  2 Pt 2.00
O 0.3008 0.6992 0.6992  2 Pt 2.00
O 0.5508 0.5508 0.9492  2 Pt 2.00
O 0.9492 0.5508 0.9492  2 Pt 2.00
O 0.5508 0.9492 0.9492  2 Pt 2.00
Pt 0.6250 0.6250 0.1250  6 O 2.00
Pt 0.6250 0.1250 0.6250  6 O 2.00
Pt 0.1250 0.6250 0.6250  6 O 2.00
Pt 0.6250 0.6250 0.6250  6 O 2.00

Symmetry: Fd-3m
Energy (eV per atom): -5.198



VASP calculation (GGA-PBE) on a relaxed structure of Y3Ni2Ge3.

Cell lengths 5.5900, 5.5900, 14.1366 Å; angles 90.00, 90.00, 135.76 degrees
Closest atoms and distances in Å follow each position.
Fractional coordinates of all 16 atoms:
Ge 0.1244 0.8756 0.0384  3 Ni 2.42-2.65
Ge 0.8350 0.1650 0.2500  2 Ni 2.53
Ge 0.1244 0.8756 0.4616  3 Ni 2.42-2.65
Ge 0.8756 0.1244 0.5384  3 Ni 2.42-2.65
Ge 0.1650 0.8350 0.7500  2 Ni 2.53
Ge 0.8756 0.1244 0.9616  3 Ni 2.42-2.65
Ni 0.7023 0.2977 0.0999  4 Ge 2.42-2.65
Ni 0.7023 0.2977 0.4001  4 Ge 2.42-2.65
Ni 0.2977 0.7023 0.5999  4 Ge 2.42-2.65
Ni 0.2977 0.7023 0.9001  4 Ge 2.42-2.65
Y 0.4124 0.5876 0.1089  7 Ge 2.99-3.20, 4 Ni 3.00-3.18
Y 0.1333 0.8667 0.2500  5 Ge 2.97-3.09, 4 Ni 3.07
Y 0.4124 0.5876 0.3911  7 Ge 2.99-3.20, 4 Ni 3.00-3.18
Y 0.5876 0.4124 0.6089  7 Ge 2.99-3.20, 4 Ni 3.00-3.18
Y 0.8667 0.1333 0.7500  5 Ge 2.97-3.09, 4 Ni 3.07
Y 0.5876 0.4124 0.8911  7 Ge 2.99-3.20, 4 Ni 3.00-3.18

Symmetry: Cmcm
Energy (eV per atom): -6.383



VASP calculation (GGA-PBE) on a relaxed structure of DyYCu2Pb.

Cell lengths 3.6637, 7.3232, 7.3232 Å; angles 33.62, 90.00, 90.00 degrees
Closest atoms and distances in Å follow each position.
Fractional coordinates of all 5 atoms:
Cu 0.5000 0.2032 0.2032  2 Cu 2.49
Cu 0.5000 0.7960 0.7960  2 Cu 2.49
Dy 0.0000 0.6350 0.6350  6 Cu 2.91-2.96
Pb 0.5000 0.9999 0.9999  2 Cu 2.85-2.86
Y 0.0000 0.3660 0.3660  6 Cu 2.93-2.97

Symmetry: Amm2
Energy (eV per atom): -4.823



VASP calculation (GGA-PBE) on a relaxed structure of ScCdCu4.

Cell lengths 4.9731, 4.9731, 4.9731 Å; angles 60.10, 60.10, 60.10 degrees
Closest atoms and distances in Å follow each position.
Fractional coordinates of all 6 atoms:
Cd 0.0004 0.0004 0.0004  12 Cu 2.91-2.92, 4 Sc 3.05
Cu 0.3746 0.3746 0.3746  6 Cu 2.48-2.49
Cu 0.8753 0.3748 0.3748  6 Cu 2.48-2.49
Cu 0.3748 0.8753 0.3748  6 Cu 2.48-2.49
Cu 0.3748 0.3748 0.8753  6 Cu 2.48-2.49
Sc 0.7501 0.7501 0.7501  12 Cu 2.92, 4 Cd 3.05

Formation enthalpy at 0 K (eV per formula unit): -1.36
Symmetry: R3m
Energy (eV per atom): -3.908



VASP calculation (GGA-PBE) on a relaxed structure of HfInNiAg.

Cell lengths 4.6443, 4.6443, 4.6443 Å; angles 60.01, 60.01, 60.01 degrees
Closest atoms and distances in Å follow each position.
Fractional coordinates of all 4 atoms:
Ag 0.5000 0.5000 0.5000  4 Hf 2.84, 4 Ni 2.84
Hf 0.2500 0.2500 0.2500  4 In 2.84, 4 Ag 2.84
In 0.0000 0.0000 0.0000  4 Hf 2.84, 4 Ni 2.84
Ni 0.7500 0.7500 0.7500  4 In 2.84, 4 Ag 2.84

Symmetry: F-43m
Energy (eV per atom): -5.236



VASP calculation (GGA-PBE) on a relaxed structure of KPrSO.

Cell lengths 7.5782, 7.7053, 6.7214 Å; angles 90.00, 104.30, 90.00 degrees
Closest atoms and distances in Å follow each position.
Fractional coordinates of all 16 atoms:
K 0.0846 0.7434 0.0064  2 O 2.76-3.09
K 0.9154 0.2434 0.4936  2 O 2.76-3.09
K 0.0846 0.7566 0.5064  2 O 2.76-3.09
K 0.9154 0.2566 0.9936  2 O 2.76-3.09
O 0.6083 0.3495 0.1194  3 Pr 2.36-2.38
O 0.3917 0.8495 0.3806  3 Pr 2.36-2.38
O 0.6083 0.1505 0.6194  3 Pr 2.36-2.38
O 0.3917 0.6505 0.8806  3 Pr 2.36-2.38
Pr 0.5362 0.6259 0.2338  3 O 2.36-2.38
Pr 0.4638 0.1259 0.2662  3 O 2.36-2.38
Pr 0.5362 0.8741 0.7338  3 O 2.36-2.38
Pr 0.4638 0.3741 0.7662  3 O 2.36-2.38
S 0.7616 0.9144 0.1616  3 Pr 2.92-3.00, 3 K 3.17-3.20
S 0.2384 0.4144 0.3384  3 Pr 2.92-3.00, 3 K 3.17-3.20
S 0.7616 0.5856 0.6616  3 Pr 2.92-3.00, 3 K 3.17-3.20
S 0.2384 0.0856 0.8384  3 Pr 2.92-3.00, 3 K 3.17-3.20

Symmetry: P2_1/c
Energy (eV per atom): -5.952
Polymorph energy (0 for the lowest one) (meV per atom): 0



VASP calculation (GGA-PBE) on a relaxed structure of ThGaPt.

Cell lengths 7.0688, 7.0688, 4.3767 Å; angles 90.00, 90.00, 120.00 degrees
Closest atoms and distances in Å follow each position.
Fractional coordinates of all 9 atoms:
Ga 0.6667 0.3333 0.0000  3 Pt 2.72, 6 Th 3.04
Ga 0.3333 0.6667 0.0000  3 Pt 2.72, 6 Th 3.04
Ga 0.0000 0.0000 0.5000  6 Pt 2.79, 3 Th 3.00
Pt 0.2445 0.0000 0.0000  4 Ga 2.72-2.79, 2 Pt 2.99
Pt 0.0000 0.2445 0.0000  4 Ga 2.72-2.79, 2 Pt 2.99
Pt 0.7555 0.7555 0.0000  4 Ga 2.72-2.79, 2 Pt 2.99
Th 0.5751 0.0000 0.5000  5 Ga 3.00-3.04, 2 Pt 3.20
Th 0.4249 0.4249 0.5000  5 Ga 3.00-3.04, 2 Pt 3.20
Th 0.0000 0.5751 0.5000  5 Ga 3.00-3.04, 2 Pt 3.20

Symmetry: P-62m
Energy (eV per atom): -6.350



VASP calculation (GGA-PBE) on a relaxed structure of Re5W7.

Cell lengths 5.1721, 5.1721, 16.8074 Å; angles 90.00, 90.00, 120.00 degrees
Closest atoms and distances in Å follow each position.
Fractional coordinates of all 24 atoms:
Re 0.5000 0.0000 0.0000  2 W 2.55, 4 Re 2.59
Re 0.0000 0.5000 0.0000  2 W 2.55, 4 Re 2.59
Re 0.5000 0.5000 0.0000  2 W 2.55, 4 Re 2.59
Re 0.6667 0.3333 0.1527  4 Re 2.97-3.27, 12 W 3.03-3.15
Re 0.6667 0.3333 0.3473  4 Re 2.97-3.27, 12 W 3.03-3.15
Re 0.5000 0.0000 0.5000  2 W 2.55, 4 Re 2.59
Re 0.0000 0.5000 0.5000  2 W 2.55, 4 Re 2.59
Re 0.5000 0.5000 0.5000  2 W 2.55, 4 Re 2.59
Re 0.3333 0.6667 0.6527  4 Re 2.97-3.27, 12 W 3.03-3.15
Re 0.3333 0.6667 0.8473  4 Re 2.97-3.27, 12 W 3.03-3.15
W 0.0000 0.0000 0.0937  7 W 3.00-3.15, 9 Re 3.03-3.15
W 0.3333 0.6667 0.1229  3 Re 2.55, 3 W 2.63
W 0.1628 0.3256 0.2500  6 W 2.53-2.65
W 0.1628 0.8372 0.2500  6 W 2.53-2.65
W 0.6744 0.8372 0.2500  6 W 2.53-2.65
W 0.3333 0.6667 0.3771  3 Re 2.55, 3 W 2.63
W 0.0000 0.0000 0.4063  7 W 3.00-3.15, 9 Re 3.03-3.15
W 0.0000 0.0000 0.5937  7 W 3.00-3.15, 9 Re 3.03-3.15
W 0.6667 0.3333 0.6229  3 Re 2.55, 3 W 2.63
W 0.3256 0.1628 0.7500  6 W 2.53-2.65
W 0.8372 0.1628 0.7500  6 W 2.53-2.65
W 0.8372 0.6744 0.7500  6 W 2.53-2.65
W 0.6667 0.3333 0.8771  3 Re 2.55, 3 W 2.63
W 0.0000 0.0000 0.9063  7 W 3.00-3.15, 9 Re 3.03-3.15

Formation enthalpy at 0 K (eV per formula unit): 5.04
Symmetry: P6_3/mmc
Energy (eV per atom): -12.316
Polymorph energy (0 for the lowest one) (meV per atom): 137



VASP calculation (GGA-PBE) on a relaxed structure of GdYAl3Si2.

Cell lengths 5.5025, 5.5025, 6.6393 Å; angles 100.44, 100.44, 43.33 degrees
Closest atoms and distances in Å follow each position.
Fractional coordinates of all 7 atoms:
Al 0.6947 0.6947 0.3662  2 Si 2.62, 2 Al 2.79
Al 0.9998 0.9998 0.4996  2 Si 2.73, 2 Y 3.03, 2 Gd 3.03
Al 0.3054 0.3054 0.6329  2 Si 2.62, 2 Al 2.79
Gd 0.6199 0.6199 0.8224  5 Si 2.91-3.02, 5 Al 3.03-3.22
Si 0.0924 0.0924 0.1415  1 Si 2.39, 2 Al 2.62
Si 0.9076 0.9076 0.8594  1 Si 2.39, 2 Al 2.62
Y 0.3802 0.3802 0.1781  5 Si 2.91-3.02, 5 Al 3.03-3.22

Symmetry: Cm
Energy (eV per atom): -5.297